i | A plane-wave DFT calculation with PBE was carried out for BiH2Pb after structural relaxation.

Results
total magnetization	0.0	μB/cell
crystal system	tetragonal

Structure (POSCAR):
```
BiH2Pb
1.0
-2.318 2.318 7.137
2.318 -2.318 7.137
2.318 2.318 -7.137
Bi H Pb
2 4 2
Cartesian
0.000 0.000 0.000
0.000 2.318 3.568
3.477 0.949 -1.784
0.949 1.159 1.784
-1.159 1.368 5.353
1.368 1.159 8.921
2.318 0.000 3.568
0.000 0.000 7.137
```

---

ii | A plane-wave DFT calculation with PBE was carried out for BiH2Pb after structural relaxation.

Results
total magnetization	0.0	μB/cell
crystal system	cubic

Structure (POSCAR):
```
BiH2Pb
1.0
0.000 3.252 3.252
3.252 0.000 3.252
3.252 3.252 0.000
Bi H Pb
1 2 1
Cartesian
0.000 0.000 0.000
1.626 1.626 1.626
4.877 4.877 4.877
3.252 3.252 3.252
```

---

iii | A plane-wave DFT calculation with PBE was carried out for BiH2Pb after structural relaxation.

Results
total magnetization	0.0	μB/cell
crystal system	triclinic

Structure (POSCAR):
```
BiH2Pb
1.0
3.298 0.000 0.000
-0.978 7.088 0.000
-1.206 -1.920 6.906
Bi H Pb
2 4 2
Cartesian
-0.508 0.617 2.248
1.621 4.552 4.658
-1.498 4.142 6.546
-0.312 2.548 2.369
1.425 2.621 4.537
2.611 1.027 0.361
0.147 4.461 1.205
0.966 0.707 5.702
```

---

Order of stability, best first: iii, i, ii

---

i | A plane-wave DFT calculation with PBE was carried out for Bi2HPb after structural relaxation.

Results
total magnetization	0.0	μB/cell
crystal system	tetragonal

Structure (POSCAR):
```
Bi2HPb
1.0
-3.827 3.827 3.503
3.827 -3.827 3.503
3.827 3.827 -3.503
Bi H Pb
4 2 2
Cartesian
5.741 1.020 -0.876
1.020 1.914 0.876
-1.914 2.807 2.628
2.807 1.914 4.379
0.000 0.000 0.000
0.000 3.827 1.752
3.827 0.000 1.752
0.000 0.000 3.503
```

---

ii | A plane-wave DFT calculation with PBE was carried out for Bi2HPb after structural relaxation.

Results
total magnetization	0.0	μB/cell
crystal system	cubic

Structure (POSCAR):
```
Bi2HPb
1.0
0.000 3.739 3.739
3.739 0.000 3.739
3.739 3.739 0.000
Bi H Pb
2 1 1
Cartesian
1.869 1.869 1.869
5.608 5.608 5.608
0.000 0.000 0.000
3.739 3.739 3.739
```

---

Order of stability, best first: i, ii